! RbNiPbO2 PBE with a Hubbard U relaxed; values from VASP
! D(E_F) = 2.20 states/eV/f.u.
! raw total energy = -3.30 eV per atom
! total magnetic moment = 0.804 μB per cell
&SYSTEM
  ibrav = 0, nat = 5, ntyp = 4
/
ATOMIC_SPECIES
Rb 85.47 Rb.upf
Ni 58.69 Ni.upf
Pb 207.20 Pb.upf
O 16.00 O.upf
CELL_PARAMETERS angstrom
4.450 0.000 0.000
0.000 4.450 0.000
0.000 0.000 4.747
ATOMIC_POSITIONS crystal
Rb 0.000 0.000 0.000
Ni 0.500 0.500 0.500
Pb 0.500 0.500 0.000
O 0.000 0.500 0.500
O 0.500 0.000 0.500